(1)
Material: TiGeMoRu
Method: DFT, PBE
State: relaxed

```
4
Lattice="0.0000 3.0930 3.0930 3.0930 0.0000 3.0930 3.0930 3.0930 0.0000" Properties=species:S:1:pos:R:3 pbc="T T T"
Ti 0.0000 0.0000 0.0000
Ge 3.0930 3.0930 3.0930
Mo 1.5465 1.5465 1.5465
Ru 4.6395 4.6395 4.6395
```

SG: F-43m (216)
Magnetization, Bohr magnetons per cell: 0.00
E_form, eV per atom: -0.308
Volume, Å³ per cell: 59
E, eV/atom: -8.462

(2)
Material: UAgPdPt
Method: DFT, PBE
State: relaxed

```
4
Lattice="0.0000 3.3650 3.3650 3.3650 0.0000 3.3650 3.3650 3.3650 0.0000" Properties=species:S:1:pos:R:3 pbc="T T T"
U 0.0000 0.0000 0.0000
Ag 3.3650 3.3650 3.3650
Pd 5.0475 5.0475 5.0475
Pt 1.6825 1.6825 1.6825
```

SG: F-43m (216)
Magnetization, Bohr magnetons per cell: 1.82
E_form, eV per atom: -0.328
Volume, Å³ per cell: 76
E, eV/atom: -6.671